This record from OQMD via LeMat-Bulk describes TaZnCuAg after structural relaxation. The functional is PBE.

Unit cell a=4.4411 b=4.4411 c=4.4411 alpha=60.00 beta=60.00 gamma=60.00
Element x y z (fractional)
Ag: 0.2500 0.2500 0.2500
Cu: 0.7500 0.7500 0.7500
Zn: 0.0000 0.0000 0.0000
Ta: 0.5000 0.5000 0.5000

Results
Crystal system   cubic
Total magnetization   0.0 μB per formula unit
E_form   0.2795 eV/atom